The following is a PBE calculation of a relaxed structure of NdSm5Al3, from Alexandria.

Calculated values
total DFT energy (no corrections)	-4.630	eV per atom
total magnetization	0.0	μB/cell
formation energy from the elements	-231	meV/atom

abc: 9.2646 9.2646 6.8117
angles: 90.00 90.00 120.00
Space group P6_3/mcm (No. 193)
One atom of each set of equivalent atoms:
Nd 0.0000 0.0000 0.0000 [2 per cell]
Sm 0.0000 0.3321 0.2500 [6 per cell]
Sm 0.3333 0.6667 0.0000 [4 per cell]
Al 0.0000 0.3362 0.7500 [6 per cell]